Entry from Alexandria via LeMat-Bulk: an optimized crystal structure of Tl5NiS4 (PBE).

```
Tl5NiS4
1.0
3.8297 0.0000 0.0000
0.0000 7.8071 0.6375
-1.9148 -1.3823 8.7647
S Tl Ni
4 5 1
Cartesian
0.0000 6.3805 7.0986
1.9148 0.1516 8.7112
1.9148 0.0444 2.3037
0.0000 6.2732 0.6911
1.9148 0.6119 5.7805
0.0000 5.8129 3.6218
0.0000 2.0791 2.9112
1.9148 3.9036 0.3188
1.9148 4.3457 6.4911
1.9148 0.0000 0.0000
```

The uncorrected formation energy is -0.2050 eV/atom. The density of states at the Fermi level comes out at 0.336 states/eV/atom.


Entry from Alexandria via LeMat-Bulk: an optimized crystal structure of Tl3NiS (PBE).

```
Tl3NiS
1.0
-2.4242 -0.9711 -5.0037
-4.7394 -1.6096 2.6085
-1.8758 5.3219 -0.1241
Ni Tl S
1 3 1
Cartesian
-4.5197 1.3706 -1.2596
-1.2121 -0.4855 -2.5019
-0.9379 2.6610 -0.0620
-2.3697 -0.8048 1.3043
0.0000 0.0000 0.0000
```

The uncorrected formation energy is 0.7577 eV/atom. The density of states at the Fermi level comes out at 3.556 states/eV/atom.


Entry from Alexandria via LeMat-Bulk: an optimized crystal structure of TlNi3S (PBE).

```
TlNi3S
1.0
-2.5339 -0.8111 3.9510
2.1805 -4.2009 0.5360
3.3932 2.0938 2.6060
S Ni Tl
1 3 1
Cartesian
1.5199 -1.4591 3.5465
1.0903 -2.1004 0.2680
1.6966 1.0469 1.3030
-1.2670 -0.4056 1.9755
0.0000 0.0000 0.0000
```

The uncorrected formation energy is 1.4885 eV/atom. The density of states at the Fermi level comes out at 1.766 states/eV/atom.


Entry from Alexandria via LeMat-Bulk: an optimized crystal structure of TlNiS3 (PBE).

```
TlNiS3
1.0
5.0640 0.0000 0.0000
0.0000 5.0640 0.0000
0.0000 0.0000 5.0640
S Ni Tl
3 1 1
Cartesian
0.0000 0.0000 2.5320
2.5320 0.0000 0.0000
0.0000 2.5320 0.0000
2.5320 2.5320 2.5320
0.0000 0.0000 0.0000
```

The uncorrected formation energy is 1.2796 eV/atom. The density of states at the Fermi level comes out at 1.473 states/eV/atom.


| no. | raw total energy (eV/cell) |
| --- | --- |
| 1 | -36.17 |
| 2 | -13.22 |
| 3 | -16.40 |
| 4 | -14.13 |